Entry 1:
The following is a DFT calculation (GGA-PBE) of an optimized crystal structure of TbPuCo10.

Cell and atoms, written as extended XYZ:
```
12
Lattice="3.9564 0.0000 0.0000 0.0000 4.9123 0.0000 0.0000 0.0000 8.4655" Properties=species:S:1:pos:R:3 pbc="T T T"
Tb 0.0000 0.0000 0.0000
Pu 0.0000 2.4562 4.2328
Co 0.0000 0.0000 2.8965
Co 0.0000 0.0000 5.5691
Co 0.0000 2.4562 1.5038
Co 0.0000 2.4562 6.9617
Co 1.9782 0.0000 4.2328
Co 1.9782 1.2245 2.1240
Co 1.9782 1.2245 6.3416
Co 1.9782 2.4562 0.0000
Co 1.9782 3.6879 2.1240
Co 1.9782 3.6879 6.3416
```

Properties
For the calculated total energy, the calculation gives -91.1 eV per cell. As for the calculated formation energy: -93 meV per atom. The density of states at the Fermi level is 1.60 states/eV per atom.

=====

Entry 2:
The following is a DFT calculation (GGA-PBE) of an optimized crystal structure of TbPuZnCo.

Cell and atoms, written as extended XYZ:
```
4
Lattice="0.0000 3.4604 3.4604 3.4604 0.0000 3.4604 3.4604 3.4604 0.0000" Properties=species:S:1:pos:R:3 pbc="T T T"
Tb 0.0000 0.0000 0.0000
Pu 3.4604 3.4604 3.4604
Zn 1.7302 1.7302 1.7302
Co 5.1907 5.1907 5.1907
```

Properties
For the calculated total energy, the calculation gives -27.6 eV per cell. As for the calculated formation energy: -55 meV per atom. The density of states at the Fermi level is 1.88 states/eV per atom.

=====

Entry 3:
The following is a DFT calculation (GGA-PBE) of an optimized crystal structure of PuCoTc2.

Cell and atoms, written as extended XYZ:
```
4
Lattice="1.3838 0.7990 9.5828 -1.3838 0.7990 9.5828 0.0000 -1.5979 9.5828" Properties=species:S:1:pos:R:3 pbc="T T T"
Pu 0.0000 0.0000 0.0000
Co 0.0000 0.0000 14.3741
Tc 0.0000 0.0000 2.7566
Tc 0.0000 0.0000 25.9917
```

Properties
For the calculated total energy, the calculation gives -40.1 eV per cell. The calculation puts the energy above the lowest structure with this stoichiometry at 0.3820 eV/atom. As for the calculated formation energy: 528 meV per atom. The density of states at the Fermi level is 2.29 states/eV per atom.

=====

Entry 4:
The following is a DFT calculation (GGA-PBE) of an optimized crystal structure of Pu2CoTc3.

Cell and atoms, written as extended XYZ:
```
6
Lattice="4.7479 -2.4802 0.0000 4.7479 2.4802 0.0000 -2.9839 0.0000 4.4316" Properties=species:S:1:pos:R:3 pbc="T T T"
Pu 0.0824 0.0000 1.6683
Pu 6.4296 0.0000 2.7633
Co 4.7479 0.0000 0.0000
Tc 2.3740 1.2401 0.0000
Tc 2.3740 -1.2401 0.0000
Tc 3.2560 0.0000 2.2158
```

Properties
For the calculated total energy, the calculation gives -66.8 eV per cell. As for the calculated formation energy: 6 meV per atom. The density of states at the Fermi level is 2.75 states/eV per atom.

=====

Entry 5:
The following is a DFT calculation (GGA-PBE) of an optimized crystal structure of PuCoTc2.

Cell and atoms, written as extended XYZ:
```
4
Lattice="4.3632 0.0000 0.0000 0.0000 4.3632 0.0000 0.0000 0.0000 3.2420" Properties=species:S:1:pos:R:3 pbc="T T T"
Pu 0.0000 0.0000 0.0000
Co 2.1816 2.1816 0.0000
Tc 0.0000 2.1816 1.6210
Tc 2.1816 0.0000 1.6210
```

Properties
For the calculated total energy, the calculation gives -41.6 eV per cell. The calculation puts the energy above the lowest structure with this stoichiometry at 0.0000 eV/atom. As for the calculated formation energy: 146 meV per atom. The density of states at the Fermi level is 1.34 states/eV per atom.

=====

Entry 6:
The following is a DFT calculation (GGA-PBE) of an optimized crystal structure of PuCoTc.

Cell and atoms, written as extended XYZ:
```
3
Lattice="-1.7853 1.7853 3.9095 1.7853 -1.7853 3.9095 1.7853 1.7853 -3.9095" Properties=species:S:1:pos:R:3 pbc="T T T"
Pu 0.0000 0.0000 0.0000
Co 0.0000 0.0000 5.2576
Tc 0.0000 0.0000 2.3937
```

Properties
For the calculated total energy, the calculation gives -31.2 eV per cell. The calculation puts the energy above the lowest structure with this stoichiometry at 0.2278 eV/atom. As for the calculated formation energy: 191 meV per atom. The density of states at the Fermi level is 2.23 states/eV per atom.